P:
This record from Alexandria describes a relaxed Na4TlHg2 crystal. The functional is PBE-GGA.

Cell and atoms, written as POSCAR:
```
Na4TlHg2
1.0
-1.6887 -0.0240 -5.0526
-1.4450 -4.5809 -2.3039
-8.7161 -0.4018 0.1064
Na Tl Hg
4 1 2
Cartesian
-6.2002 -4.1519 -6.3337
-5.6496 -0.8548 -0.9163
-3.4405 -2.8703 -4.4536
-8.4093 -2.1364 -2.7964
0.0000 0.0000 0.0000
-9.1959 -3.7095 -5.3346
-2.6539 -1.2973 -1.9154
```

***

Q:
This record from Alexandria describes a relaxed Na4TlHg2 crystal. The functional is PBE-GGA.

Cell and atoms, written as POSCAR:
```
Na4TlHg2
1.0
-5.6748 1.3070 0.8344
-0.9818 -5.4788 1.9044
4.8810 4.2823 5.7498
Na Tl Hg
4 1 2
Cartesian
-2.4023 -0.7760 5.6153
0.6267 0.8865 2.8733
-0.4909 -2.7394 0.9522
-2.8374 0.6535 0.4172
0.0000 0.0000 0.0000
-3.0184 -1.6475 2.7904
1.2428 1.7580 5.6983
```

***

The most stable of them is P.

***

P:
This record from Alexandria describes a relaxed Na12Tl5Hg2 crystal. The functional is PBE-GGA.

Cell and atoms, written as POSCAR:
```
Na12Tl5Hg2
1.0
-1.3747 -9.2569 0.6913
3.6849 3.6678 -7.2487
7.0304 -0.7876 3.4343
Na Tl Hg
12 5 2
Cartesian
2.6172 -5.5152 -4.9579
7.8340 1.6433 -2.3868
6.9713 -4.1660 -1.9530
4.8312 0.9440 -4.1490
4.2615 -2.8926 -3.8625
7.5430 -1.4042 -3.8034
1.7977 -4.9725 0.6803
4.5095 -7.3207 1.0258
5.0792 -3.4841 0.7393
1.5066 -8.0200 -0.7363
2.3693 -2.2107 -1.1701
6.7235 -0.8614 1.8347
5.5096 -0.9187 -1.3465
8.8228 -1.3668 -0.7585
3.5152 -0.3938 1.7172
0.5178 -5.0098 -2.3646
3.8311 -5.4579 -1.7766
-0.9531 -6.4185 0.4793
-0.4215 -2.8385 0.2120
```

***

Q:
This record from Alexandria describes a relaxed Na12Tl5Hg2 crystal. The functional is PBE-GGA.

Cell and atoms, written as POSCAR:
```
Na12Tl5Hg2
1.0
-3.5720 -3.3123 -0.5863
-6.1626 1.1180 10.9702
-10.1093 6.6856 3.5607
Na Tl Hg
12 5 2
Cartesian
-15.0059 6.6964 13.0247
-4.6283 0.3179 6.0207
-6.5399 3.0145 2.4320
-7.8215 -0.0989 7.3803
-9.7168 2.5748 3.8220
-7.1168 3.0074 6.0506
-12.7270 1.4838 7.8941
-12.0223 4.5901 6.5644
-10.1270 1.9164 10.1227
-15.2155 4.1733 7.9239
-13.3040 1.4767 11.5126
-4.8379 -2.2052 0.9199
-4.2993 0.5422 2.6974
-7.4173 0.0513 3.9894
-1.7860 -1.6562 -0.2931
-12.4265 4.4399 9.9553
-15.5445 3.9491 11.2473
-9.2138 5.4223 5.2419
-7.0580 2.3812 9.2891
```

***

The most stable of them is Q.

***

P:
This record from Alexandria describes a relaxed Na2Tl2Hg crystal. The functional is PBE-GGA.

Cell and atoms, written as POSCAR:
```
Na2Tl2Hg
1.0
-2.7692 3.3462 0.4334
0.3060 -0.3093 4.3433
4.8849 6.5893 2.3185
Na Tl Hg
2 2 1
Cartesian
0.4420 5.7270 2.5701
1.9796 3.8992 4.5251
-0.0600 2.4898 2.3750
2.4817 7.1364 4.7203
0.0000 0.0000 0.0000
```

***

Q:
This record from Alexandria describes a relaxed Na2Tl2Hg crystal. The functional is PBE-GGA.

Cell and atoms, written as POSCAR:
```
Na2Tl2Hg
1.0
5.1593 0.0001 1.5584
1.1141 9.8288 5.6315
-0.4171 9.9566 10.7008
Na Tl Hg
4 4 2
Cartesian
2.4371 17.9149 15.5238
4.5062 8.0223 8.0879
3.4192 1.8706 2.3669
1.3501 11.7632 9.8028
3.0282 15.8448 12.9839
0.4362 13.8333 12.2453
2.8280 3.9407 4.9068
5.4200 5.9521 5.6454
1.8990 9.8608 7.2516
3.9572 9.9247 10.6391
```

***

The most stable of them is Q.

***

P:
This record from Alexandria describes a relaxed Na2Tl2Hg crystal. The functional is PBE-GGA.

Cell and atoms, written as POSCAR:
```
Na2Tl2Hg
1.0
5.2495 0.0000 0.0000
2.6247 5.8265 -0.9970
2.6247 -1.0502 9.5890
Na Tl Hg
4 4 2
Cartesian
5.2495 1.0960 3.1357
7.8742 0.5739 8.7171
5.2495 3.6803 5.4563
2.6247 4.2024 -0.1251
2.6247 1.1976 5.3033
7.8742 3.6556 7.4904
7.8742 3.5788 3.2887
2.6247 1.1207 1.1016
5.2495 0.2078 6.5625
5.2495 4.5686 2.0295
```

***

Q:
This record from Alexandria describes a relaxed Na2Tl2Hg crystal. The functional is PBE-GGA.

Cell and atoms, written as POSCAR:
```
Na2Tl2Hg
1.0
-1.4650 -2.4415 3.3437
-0.4398 -3.4350 -2.7009
6.8462 -5.2794 2.0289
Na Tl Hg
2 2 1
Cartesian
0.5343 -3.3846 0.6469
4.4070 -7.7713 2.0248
2.2144 -5.3296 2.8470
2.7270 -5.8263 -0.1752
0.0000 0.0000 0.0000
```

***

The most stable of them is P.

***

P:
This record from Alexandria describes a relaxed NaTl8Hg2 crystal. The functional is PBE-GGA.

Cell and atoms, written as POSCAR:
```
NaTl8Hg2
1.0
4.6679 0.0000 -1.3418
-0.8108 7.5535 -2.8207
0.0428 0.3889 8.9391
Na Tl Hg
1 8 2
Cartesian
2.3339 0.0000 -0.6709
2.4285 3.5493 -0.3420
1.4536 0.9159 5.0568
0.5262 1.5656 1.8307
-0.3788 5.5156 -1.3179
3.3736 6.3768 2.9459
2.4463 7.0265 -0.2802
1.4714 4.3931 5.1186
4.2787 2.4268 6.0944
0.5495 5.0160 1.9114
3.3504 2.9264 2.8652
```

***

Q:
This record from Alexandria describes a relaxed NaTl8Hg2 crystal. The functional is PBE-GGA.

Cell and atoms, written as POSCAR:
```
NaTl8Hg2
1.0
5.9177 1.3942 1.1588
1.9367 9.2687 3.4066
1.9367 5.0437 8.4896
Na Tl Hg
1 8 2
Cartesian
0.0000 0.0000 0.0000
5.9810 5.9420 7.0499
3.8101 7.6891 8.5020
6.0826 4.7400 3.9398
3.7086 10.9666 9.1152
5.9810 8.0175 4.5530
3.8101 9.7645 6.0051
3.0671 6.0558 5.0335
6.7241 9.6508 8.0216
3.5414 3.4038 2.8292
6.2498 12.3027 10.2258
```

***

The most stable of them is P.

***

P:
This record from Alexandria describes a relaxed Na3Tl2Hg8 crystal. The functional is PBE-GGA.

Cell and atoms, written as POSCAR:
```
Na3Tl2Hg8
1.0
5.5708 0.3355 1.0443
1.5333 7.9414 1.7826
0.8738 -1.0032 8.1747
Na Tl Hg
3 2 8
Cartesian
2.7854 0.1678 0.5222
1.0421 1.2798 6.5432
1.3650 5.6584 3.4141
2.6759 2.1508 3.2858
5.3019 5.1230 7.7158
2.6145 4.0482 5.9345
5.3634 3.2256 5.0671
5.5468 1.2758 2.3577
2.4311 5.9980 8.6440
4.7945 4.7923 2.4086
4.4614 0.2748 5.6370
3.5165 6.9990 5.3646
3.1834 2.4815 8.5930
```

***

Q:
This record from Alexandria describes a relaxed Na3Tl2Hg8 crystal. The functional is PBE-GGA.

Cell and atoms, written as POSCAR:
```
Na3Tl2Hg8
1.0
6.1407 0.0000 0.0000
3.0703 5.3180 0.0000
3.0703 1.7727 11.5682
Na Tl Hg
3 2 8
Cartesian
0.0000 0.0000 0.0000
9.2110 5.3180 6.4467
3.0703 1.7727 5.1216
6.1407 3.5453 0.9379
6.1407 3.5453 10.6303
9.2110 5.3180 9.5133
3.0703 1.7727 2.0549
4.6044 4.4323 3.7653
6.1407 1.7714 3.7653
7.6769 4.4323 3.7653
6.1407 5.3192 7.8030
7.6769 2.6584 7.8030
4.6044 2.6584 7.8030
```

***

The most stable of them is P.

***

P:
This record from Alexandria describes a relaxed Na3TlHg3 crystal. The functional is PBE-GGA.

Cell and atoms, written as POSCAR:
```
Na3TlHg3
1.0
-1.0389 -9.0334 1.3637
8.4564 -1.4702 -3.2969
3.4572 0.8817 8.4742
Na Tl Hg
12 4 12
Cartesian
2.5642 -7.9716 1.3578
9.5174 -8.4211 5.7246
6.1651 -7.9476 1.2392
8.1407 -2.3623 0.3383
2.2463 -1.9875 1.3511
8.8475 -3.1944 3.7718
5.2032 -1.1282 4.2280
3.8907 -2.5805 7.0830
4.4904 -6.1146 6.7199
7.1537 -6.3297 4.3029
1.7034 -5.4968 3.6200
5.3253 -4.1979 -0.4907
7.8937 -0.4523 6.2784
1.3709 -8.1484 5.8014
4.8654 -4.3049 2.9265
7.6194 -6.3384 -1.9242
7.7558 -6.2477 7.3495
-0.1820 -7.9982 2.8100
6.8814 -9.4199 4.1367
5.2910 -1.3628 1.0677
2.2736 -2.4860 4.4320
7.4700 -3.0402 -2.6184
4.7209 0.4128 7.0316
6.5123 -3.6382 5.7944
2.4215 -4.9872 0.5068
10.1280 -6.2449 3.4097
4.2498 -7.4701 3.9188
7.7255 -5.2497 1.4068
```

***

Q:
This record from Alexandria describes a relaxed Na3TlHg3 crystal. The functional is PBE-GGA.

Cell and atoms, written as POSCAR:
```
Na3TlHg3
1.0
-1.9228 -6.8012 -4.2021
6.1262 -4.0303 3.7200
-5.1366 -2.2609 6.0096
Na Tl Hg
6 2 6
Cartesian
-1.0367 -2.1380 3.9348
2.0263 -4.1532 5.7948
-4.8138 -5.0963 2.4062
1.6210 -7.1161 -1.2916
-2.2455 -3.9658 -0.5987
2.5824 -3.7155 0.8095
-0.4666 -6.5462 2.7637
0.0000 0.0000 0.0000
-3.0490 -2.8307 1.9543
1.7789 -2.5804 3.3624
3.6332 -6.4233 0.6889
-4.0104 -6.2313 -0.1468
-0.7893 -3.7108 6.3672
0.5702 -4.4082 -1.1711
```

***

R:
This record from Alexandria describes a relaxed Na3TlHg3 crystal. The functional is PBE-GGA.

Cell and atoms, written as POSCAR:
```
Na3TlHg3
1.0
-2.7546 1.6173 5.7458
2.0989 -6.1841 0.7547
8.4919 3.4142 2.9211
Na Tl Hg
6 2 6
Cartesian
2.2978 -1.5381 4.6386
5.5052 -3.1275 3.0786
2.3309 1.9749 6.3430
0.9998 -4.4174 1.8850
-1.6555 -0.1494 4.6156
5.5383 0.3855 4.7830
7.6744 0.0703 7.3528
0.1618 -1.2229 2.0688
1.3127 -3.5735 6.8621
4.6661 0.8971 8.0581
6.8476 -2.6096 5.8147
3.1701 -2.0497 1.3635
0.9885 1.4569 3.6069
6.5235 2.4209 2.5596
```

***

The most stable of them is P.

***

P:
This record from Alexandria describes a relaxed NaTlHg3 crystal. The functional is PBE-GGA.

Cell and atoms, written as POSCAR:
```
NaTlHg3
1.0
5.4650 0.0000 0.0000
0.0000 5.3593 1.7685
0.0000 -0.2741 8.9896
Na Tl Hg
2 2 6
Cartesian
4.0987 4.7511 9.0286
1.3662 0.3341 1.7294
1.3662 4.4185 6.8428
4.0987 0.6666 3.9153
4.0987 1.8021 0.6310
1.3662 3.2830 10.1271
1.3662 1.1508 7.6275
4.0987 3.9344 3.1305
4.0987 2.6509 6.5243
1.3662 2.4343 4.2338
```

***

Q:
This record from Alexandria describes a relaxed NaTlHg3 crystal. The functional is PBE-GGA.

Cell and atoms, written as POSCAR:
```
NaTlHg3
1.0
-0.0444 5.0242 -2.9174
-5.8012 0.1200 0.2949
0.3153 2.9153 5.0157
Na Tl Hg
1 1 3
Cartesian
-2.7651 4.0297 1.1966
0.0000 0.0000 0.0000
-2.9006 0.0600 0.1475
0.1577 1.4576 2.5079
-0.0222 2.5121 -1.4587
```

***

The most stable of them is P.

***

P:
This record from Alexandria describes a relaxed Na2Tl8Hg crystal. The functional is PBE-GGA.

Cell and atoms, written as POSCAR:
```
Na2Tl8Hg
1.0
-2.6104 -0.7301 4.0200
5.9992 -4.2337 3.1268
2.3599 8.7754 0.2022
Na Tl Hg
2 8 1
Cartesian
4.4253 2.3792 6.2295
1.3234 1.4324 1.1195
4.1505 4.5904 3.5288
4.5229 -1.1185 5.6578
1.4151 2.6245 4.3194
4.4774 -2.2919 2.4912
4.3336 1.1871 3.0296
1.2258 4.9301 1.6913
1.5982 -0.7788 3.8202
1.2713 6.1035 4.8578
-1.3052 -0.3650 2.0100
```

***

Q:
This record from Alexandria describes a relaxed Na2Tl8Hg crystal. The functional is PBE-GGA.

Cell and atoms, written as POSCAR:
```
Na2Tl8Hg
1.0
5.6866 0.6897 0.5733
1.0379 8.1462 -0.0558
1.0379 1.4344 8.0191
Na Tl Hg
2 8 1
Cartesian
2.9733 1.7017 1.4144
4.7891 8.5686 7.1221
5.4533 2.8611 5.7705
2.3091 4.0741 6.7787
5.6096 3.1628 2.6289
2.1528 7.1076 5.9077
5.4533 6.1963 1.7579
2.3091 7.4093 2.7661
2.5428 4.1985 3.4897
5.2196 6.0719 5.0469
0.0000 0.0000 0.0000
```

***

The most stable of them is P.

***

P:
This record from Alexandria describes a relaxed Na2Tl6Hg crystal. The functional is PBE-GGA.

Cell and atoms, written as POSCAR:
```
Na2Tl6Hg
1.0
7.4001 0.9133 0.5286
1.3142 6.8378 0.2504
1.3142 3.6238 5.8040
Na Tl Hg
2 6 1
Cartesian
7.9232 7.4330 4.3017
2.1053 3.9419 2.2813
3.6591 5.7057 5.1210
5.0762 8.8275 5.1087
3.6591 7.2828 2.3958
6.3694 5.6692 1.4620
4.9524 2.5474 1.4742
6.3694 4.0921 4.1871
0.0000 0.0000 0.0000
```

***

Q:
This record from Alexandria describes a relaxed Na2Tl6Hg crystal. The functional is PBE-GGA.

Cell and atoms, written as POSCAR:
```
Na2Tl6Hg
1.0
-2.7359 2.4706 3.2999
-5.4357 -4.7308 -0.9648
5.9719 -3.7302 4.0351
Na Tl Hg
2 6 1
Cartesian
1.7182 -1.8805 6.5414
-3.9179 -4.1099 -0.1713
-0.9525 -5.9067 3.6326
-1.2472 -0.0836 2.7376
-3.8451 -3.7474 3.3267
-1.1467 -3.1909 1.4383
1.6454 -2.2430 3.0435
-1.0530 -2.7994 4.9319
-4.0858 -1.1301 1.1675
```

***

The most stable of them is Q.